This record from Alexandria describes crystalline HfCuSb2N at its relaxed geometry. The functional is PBE.

Cell lengths 4.9546, 3.7262, 4.9546 Å; angles 90.00, 90.00, 90.00 degrees
Last column: nearest neighbours and their distance in Å.
Atoms (fractional coordinates):
Cu  0.0000  0.5000  0.0000  2 N 1.86
Sb  0.5000  0.0000  0.0000  2 N 2.48
Sb  0.0000  0.0000  0.5000  2 N 2.48
N  0.0000  0.0000  0.0000  2 Cu 1.86
Hf  0.5000  0.5000  0.5000  8 Sb 3.10

Computed properties:
uncorrected formation energy	1.45	eV/f.u.
theoretical density	9.07	g cm⁻³



This record from Alexandria describes crystalline TaMoW2 at its relaxed geometry. The functional is PBE.

Cell lengths 4.5356, 2.7915, 5.2915 Å; angles 79.70, 90.00, 90.00 degrees
Last column: nearest neighbours and their distance in Å.
Atoms (fractional coordinates):
W  0.0000  0.0068  0.0011  4 W 2.76-2.79, 2 Mo 2.77, 2 Ta 2.79
W  0.0000  0.4932  0.4989  4 W 2.76-2.79, 2 Mo 2.77, 2 Ta 2.79
Mo  0.5000  0.2500  0.2500  2 Ta 2.76, 4 W 2.77, 2 Mo 2.79
Ta  0.5000  0.7500  0.7500  2 Mo 2.76, 4 W 2.79, 2 Ta 2.79

Computed properties:
theoretical density	16.24	g cm⁻³
calculated formation energy	-0.095	eV/atom



This record from Alexandria describes crystalline Y2ScRe at its relaxed geometry. The functional is PBE.

Cell lengths 6.1633, 6.1633, 5.0651 Å; angles 65.73, 65.73, 33.75 degrees
Last column: nearest neighbours and their distance in Å.
Atoms (fractional coordinates):
Sc  0.7500  0.7500  0.7500  4 Re 3.10, 4 Y 3.34
Re  0.2500  0.2500  0.2500  4 Y 2.82, 4 Sc 3.10
Y  0.5453  0.5453  0.4547  2 Re 2.82
Y  0.9547  0.9547  0.0453  2 Re 2.82

Computed properties:
theoretical density	7.03	g cm⁻³
calculated formation energy	0.208	eV/atom



This record from Alexandria describes crystalline Li2LaY2Ge2 at its relaxed geometry. The functional is PBE.

Cell lengths 4.5413, 4.5413, 9.5432 Å; angles 76.24, 76.24, 60.00 degrees
Last column: nearest neighbours and their distance in Å.
Atoms (fractional coordinates):
Y  0.1286  0.1286  0.6142  3 Ge 3.00, 3 Li 3.01, 3 Y 3.36
Y  0.8714  0.8714  0.3858  3 Ge 3.00, 3 Li 3.01, 3 Y 3.36
Li  0.4083  0.4083  0.7751  3 Ge 2.62
Li  0.5917  0.5917  0.2249  3 Ge 2.62
La  0.0000  0.0000  0.0000  6 Li 3.34, 6 Ge 3.34, 2 Y 3.54
Ge  0.2579  0.2579  0.2263  3 Li 2.62
Ge  0.7421  0.7421  0.7737  3 Li 2.62

Computed properties:
theoretical density	4.82	g cm⁻³
calculated formation energy	-0.515	eV/atom



This record from Alexandria describes crystalline Tb2NdDy6Y at its relaxed geometry. The functional is PBE.

Cell lengths 9.5989, 8.8032, 8.8032 Å; angles 118.11, 93.90, 93.90 degrees
Last column: nearest neighbours and their distance in Å.
Atoms (fractional coordinates):
Y  0.7500  0.5914  0.4086  8 Dy 3.42-3.83, 2 Tb 3.54
Y  0.2500  0.4086  0.5914  8 Dy 3.42-3.83, 2 Tb 3.54
Nd  0.7500  0.0239  0.9761  4 Tb 3.39-3.41, 4 Dy 3.59-3.70
Nd  0.2500  0.9761  0.0239  4 Tb 3.39-3.41, 4 Dy 3.59-3.70
Dy  0.3172  0.9799  0.4323  3 Dy 3.21-3.57, 1 Tb 3.40, 1 Y 3.48, 1 Nd 3.59
Dy  0.4434  0.2519  0.8772  7 Dy 3.39-3.74, 1 Tb 3.52, 1 Nd 3.70
Dy  0.0566  0.1228  0.7481  7 Dy 3.39-3.74, 1 Tb 3.52, 1 Nd 3.70
Dy  0.1828  0.5677  0.0201  3 Dy 3.21-3.57, 1 Tb 3.40, 1 Y 3.48, 1 Nd 3.59
Dy  0.1199  0.7083  0.4929  4 Dy 3.21-3.52, 3 Tb 3.27-3.43, 2 Y 3.42-3.56
Dy  0.6828  0.0201  0.5677  3 Dy 3.21-3.57, 1 Tb 3.40, 1 Y 3.48, 1 Nd 3.59
Dy  0.8801  0.2917  0.5071  4 Dy 3.21-3.52, 3 Tb 3.27-3.43, 2 Y 3.42-3.56
Dy  0.8172  0.4323  0.9799  3 Dy 3.21-3.57, 1 Tb 3.40, 1 Y 3.48, 1 Nd 3.59
Dy  0.5566  0.7481  0.1228  7 Dy 3.39-3.74, 1 Tb 3.52, 1 Nd 3.70
Dy  0.6199  0.4929  0.7083  4 Dy 3.21-3.52, 3 Tb 3.27-3.43, 2 Y 3.42-3.56
Dy  0.3801  0.5071  0.2917  4 Dy 3.21-3.52, 3 Tb 3.27-3.43, 2 Y 3.42-3.56
Dy  0.9434  0.8772  0.2519  7 Dy 3.39-3.74, 1 Tb 3.52, 1 Nd 3.70
Tb  0.4554  0.8025  0.6975  6 Dy 3.27-3.60, 2 Nd 3.39-3.41, 1 Y 3.54
Tb  0.5446  0.1975  0.3025  6 Dy 3.27-3.60, 2 Nd 3.39-3.41, 1 Y 3.54
Tb  0.9554  0.6975  0.8025  6 Dy 3.27-3.60, 2 Nd 3.39-3.41, 1 Y 3.54
Tb  0.0446  0.3025  0.1975  6 Dy 3.27-3.60, 2 Nd 3.39-3.41, 1 Y 3.54

Computed properties:
theoretical density	7.79	g cm⁻³
calculated formation energy	0.117	eV/atom



This record from Alexandria describes crystalline BeCrRh2 at its relaxed geometry. The functional is PBE.

Cell lengths 3.6854, 2.6811, 5.6773 Å; angles 61.74, 90.00, 90.00 degrees
Last column: nearest neighbours and their distance in Å.
Atoms (fractional coordinates):
Rh  0.0000  0.0328  0.9675  2 Be 2.42-2.58, 4 Cr 2.53, 2 Rh 2.68
Rh  0.5000  0.1987  0.3001  1 Cr 2.25, 4 Be 2.45-2.46
Cr  0.5000  0.7515  0.7494  1 Rh 2.25
Be  0.0000  0.5170  0.4829  6 Rh 2.42-2.58, 4 Cr 2.64, 2 Be 2.68

Computed properties:
theoretical density	8.97	g cm⁻³
calculated formation energy	-0.180	eV/atom



This record from Alexandria describes crystalline RbBa3F at its relaxed geometry. The functional is PBE.

Cell lengths 7.2475, 7.2475, 7.2475 Å; angles 90.00, 90.00, 90.00 degrees
Last column: nearest neighbours and their distance in Å.
Atoms (fractional coordinates):
Ba  0.5000  0.0000  0.0000  2 Rb 3.62
Ba  0.0000  0.0000  0.5000  2 Rb 3.62
Ba  0.0000  0.5000  0.0000  2 Rb 3.62
F  0.5000  0.5000  0.5000  12 Ba 5.12
Rb  0.0000  0.0000  0.0000  6 Ba 3.62

Computed properties:
uncorrected formation energy	1.43	eV/f.u.
theoretical density	2.25	g cm⁻³



This record from Alexandria describes crystalline MgOsPd2O at its relaxed geometry. The functional is PBE.

Cell lengths 4.4858, 3.8042, 4.4858 Å; angles 90.00, 90.00, 90.00 degrees
Last column: nearest neighbours and their distance in Å.
Atoms (fractional coordinates):
O  0.0000  0.0000  0.0000  2 Os 1.90
Os  0.0000  0.5000  0.0000  2 O 1.90
Pd  0.5000  0.0000  0.0000  2 O 2.24
Pd  0.0000  0.0000  0.5000  2 O 2.24
Mg  0.5000  0.5000  0.5000  8 Pd 2.94, 4 Os 3.17

Computed properties:
uncorrected formation energy	0.31	eV/f.u.
theoretical density	9.62	g cm⁻³



This record from Alexandria describes crystalline ErThNiRh at its relaxed geometry. The functional is PBE.

Cell lengths 3.7338, 4.4151, 5.4847 Å; angles 90.00, 109.90, 90.00 degrees
Last column: nearest neighbours and their distance in Å.
Atoms (fractional coordinates):
Er  0.8636  0.5000  0.7271  3 Ni 2.88-2.94, 4 Rh 2.93
Th  0.1396  0.0000  0.2791  3 Rh 2.82-2.99, 4 Ni 2.95
Ni  0.5843  0.5000  0.1687  2 Rh 2.83, 3 Er 2.88-2.94, 4 Th 2.95
Rh  0.4125  0.0000  0.8251  3 Th 2.82-2.99, 2 Ni 2.83, 4 Er 2.93

Computed properties:
theoretical density	10.96	g cm⁻³
calculated formation energy	-0.699	eV/atom



This record from Alexandria describes crystalline Na2Hf2TeSe6 at its relaxed geometry. The functional is PBE.

Cell lengths 7.2441, 7.2441, 7.3402 Å; angles 97.60, 97.60, 123.95 degrees
Last column: nearest neighbours and their distance in Å.
Atoms (fractional coordinates):
Se  0.2945  0.2945  0.2971  2 Hf 2.81, 1 Te 2.81, 2 Na 3.13
Se  0.7055  0.7055  0.7029  2 Hf 2.81, 1 Te 2.81, 2 Na 3.13
Se  0.5438  0.9360  0.2710  2 Hf 2.66-2.67, 1 Na 2.98
Se  0.9360  0.5438  0.2710  2 Hf 2.66-2.67, 1 Na 2.98
Se  0.4562  0.0640  0.7290  2 Hf 2.66-2.67, 1 Na 2.98
Se  0.0640  0.4562  0.7290  2 Hf 2.66-2.67, 1 Na 2.98
Hf  0.3271  0.6729  0.5000  6 Se 2.66-2.81
Hf  0.6729  0.3271  0.5000  6 Se 2.66-2.81
Te  0.0000  0.0000  0.5000  2 Se 2.81
Na  0.1459  0.8541  0.0000  6 Se 2.98-3.13
Na  0.8541  0.1459  0.0000  6 Se 2.98-3.13

Computed properties:
uncorrected formation energy	-10.14	eV/f.u.
theoretical density	5.44	g cm⁻³



This record from Alexandria describes crystalline Ac2CuO5 at its relaxed geometry. The functional is PBE.

Cell lengths 5.4490, 5.4490, 5.4490 Å; angles 95.15, 117.07, 117.07 degrees
Last column: nearest neighbours and their distance in Å.
Atoms (fractional coordinates):
Ac  0.5000  0.7565  0.2565  10 O 2.63-2.85
Ac  0.5000  0.2565  0.7565  10 O 2.63-2.85
O  0.0000  0.2675  0.2675  1 Cu 1.96
O  0.4611  0.2156  0.2156  1 Cu 1.86
O  0.0000  0.7545  0.2156  1 Cu 1.86
O  0.5389  0.7545  0.7545  1 Cu 1.86
O  0.0000  0.2156  0.7545  1 Cu 1.86
Cu  0.0000  0.0015  0.0015  5 O 1.86-1.96

Computed properties:
uncorrected formation energy	-16.86	eV/f.u.
theoretical density	8.34	g cm⁻³



This record from Alexandria describes crystalline Be3CrCo at its relaxed geometry. The functional is PBE.

Cell lengths 3.9437, 3.9437, 3.9437 Å; angles 90.00, 90.00, 90.00 degrees
Last column: nearest neighbours and their distance in Å.
Atoms (fractional coordinates):
Cr  0.0000  0.0000  0.0000  6 Be 1.97
Co  0.5000  0.5000  0.5000  12 Be 2.79
Be  0.5000  0.0000  0.0000  2 Cr 1.97
Be  0.0000  0.0000  0.5000  2 Cr 1.97
Be  0.0000  0.5000  0.0000  2 Cr 1.97

Computed properties:
theoretical density	3.74	g cm⁻³
calculated formation energy	1.432	eV/atom